Entry 1:
# PBE PmHoErHg, relaxed
# Calculated volume ... 29.02 Å³ per atom
# E above lowest polymorph ... 0.0 meV/atom
# Energy ... -3.7843 eV per atom
# Total magnetic moment ... 0.000 μB/f.u.
# Energy relative to the elements ... -0.9 eV/f.u.
data_PmHoErHg
_chemical_formula_sum 'Pm1 Ho1 Er1 Hg1'
_space_group_name_H-M_alt 'P 4 m m'
_space_group_IT_number 99
_space_group_name_Hall 'P 4 -2'
_cell_length_a 3.6117
_cell_length_b 3.6117
_cell_length_c 8.9002
_cell_angle_alpha 90.00
_cell_angle_beta 90.00
_cell_angle_gamma 90.00
loop_
_atom_site_label
_atom_site_fract_x
_atom_site_fract_y
_atom_site_fract_z
_atom_site_occupancy
Pm1 0.0000 0.0000 0.0000 1
Ho1 0.5000 0.5000 0.2825 1
Er1 0.5000 0.5000 0.7184 1
Hg1 0.0000 0.0000 0.5025 1

---

Entry 2:
# PBE PrHoEr2Hg4, relaxed
# Calculated volume ... 26.21 Å³ per atom
# Energy ... -2.9269 eV per atom
# Total magnetic moment ... 0.671 μB/f.u.
# Energy relative to the elements ... -3.7 eV/f.u.
data_PrHoEr2Hg4
_chemical_formula_sum 'Pr3 Ho3 Er6 Hg12'
_space_group_name_H-M_alt 'R -3 m'
_space_group_IT_number 166
_space_group_name_Hall '-R 3 2"'
_cell_length_a 5.2759
_cell_length_b 5.2759
_cell_length_c 26.0937
_cell_angle_alpha 90.00
_cell_angle_beta 90.00
_cell_angle_gamma 120.00
loop_
_atom_site_label
_atom_site_fract_x
_atom_site_fract_y
_atom_site_fract_z
_atom_site_occupancy
Pr1 0.0000 0.0000 0.0000 1
Ho1 0.0000 0.0000 0.5000 1
Er1 0.0000 0.0000 0.2490 1
Hg1 0.0000 0.0000 0.1275 1
Hg2 0.0000 0.0000 0.3787 1

---

Entry 3:
# PBE HoErHgRu, relaxed
# Calculated volume ... 22.04 Å³ per atom
# E above lowest polymorph ... 132.1 meV/atom
# Energy ... -5.0593 eV per atom
# Total magnetic moment ... 0.000 μB/f.u.
# Energy relative to the elements ... -1.5 eV/f.u.
data_HoErHgRu
_chemical_formula_sum 'Ho4 Er4 Hg4 Ru4'
_space_group_name_H-M_alt 'F -4 3 m'
_space_group_IT_number 216
_space_group_name_Hall 'F -4 2 3'
_cell_length_a 7.0652
_cell_length_b 7.0652
_cell_length_c 7.0652
_cell_angle_alpha 90.00
_cell_angle_beta 90.00
_cell_angle_gamma 90.00
loop_
_atom_site_label
_atom_site_fract_x
_atom_site_fract_y
_atom_site_fract_z
_atom_site_occupancy
Ho1 0.0000 0.0000 0.0000 1
Er1 0.0000 0.0000 0.5000 1
Hg1 0.2500 0.2500 0.2500 1
Ru1 0.2500 0.2500 0.7500 1

---

Entry 4:
# PBE HoErHgRu, relaxed
# Calculated volume ... 22.28 Å³ per atom
# E above lowest polymorph ... 0.0 meV/atom
# Energy ... -5.1914 eV per atom
# Total magnetic moment ... 0.000 μB/f.u.
# Energy relative to the elements ... -2.0 eV/f.u.
data_HoErHgRu
_chemical_formula_sum 'Ho1 Er1 Hg1 Ru1'
_space_group_name_H-M_alt 'P 4 m m'
_space_group_IT_number 99
_space_group_name_Hall 'P 4 -2'
_cell_length_a 3.4544
_cell_length_b 3.4544
_cell_length_c 7.4679
_cell_angle_alpha 90.00
_cell_angle_beta 90.00
_cell_angle_gamma 90.00
loop_
_atom_site_label
_atom_site_fract_x
_atom_site_fract_y
_atom_site_fract_z
_atom_site_occupancy
Ho1 0.0000 0.0000 0.0000 1
Er1 0.0000 0.0000 0.5596 1
Hg1 0.5000 0.5000 0.2816 1
Ru1 0.5000 0.5000 0.7785 1

---

Entry 5:
# PBE HoErScHg, relaxed
# Calculated volume ... 26.03 Å³ per atom
# Energy ... -4.0165 eV per atom
# Total magnetic moment ... 0.708 μB/f.u.
# Energy relative to the elements ... -0.3 eV/f.u.
data_HoErScHg
_chemical_formula_sum 'Ho4 Er4 Sc4 Hg4'
_space_group_name_H-M_alt 'F -4 3 m'
_space_group_IT_number 216
_space_group_name_Hall 'F -4 2 3'
_cell_length_a 7.4682
_cell_length_b 7.4682
_cell_length_c 7.4682
_cell_angle_alpha 90.00
_cell_angle_beta 90.00
_cell_angle_gamma 90.00
loop_
_atom_site_label
_atom_site_fract_x
_atom_site_fract_y
_atom_site_fract_z
_atom_site_occupancy
Ho1 0.0000 0.0000 0.0000 1
Er1 0.0000 0.0000 0.5000 1
Sc1 0.2500 0.2500 0.7500 1
Hg1 0.2500 0.2500 0.2500 1

---

Entry 6:
# PBE SmHo2ErHg4, relaxed
# Calculated volume ... 25.89 Å³ per atom
# Energy ... -2.9297 eV per atom
# Total magnetic moment ... 0.495 μB/f.u.
# Energy relative to the elements ... -3.8 eV/f.u.
data_SmHo2ErHg4
_chemical_formula_sum 'Sm3 Ho6 Er3 Hg12'
_space_group_name_H-M_alt 'R -3 m'
_space_group_IT_number 166
_space_group_name_Hall '-R 3 2"'
_cell_length_a 5.2652
_cell_length_b 5.2652
_cell_length_c 25.8800
_cell_angle_alpha 90.00
_cell_angle_beta 90.00
_cell_angle_gamma 120.00
loop_
_atom_site_label
_atom_site_fract_x
_atom_site_fract_y
_atom_site_fract_z
_atom_site_occupancy
Sm1 0.0000 0.0000 0.0000 1
Ho1 0.0000 0.0000 0.2492 1
Er1 0.0000 0.0000 0.5000 1
Hg1 0.0000 0.0000 0.1264 1
Hg2 0.0000 0.0000 0.3768 1

---

Entry 7:
# PBE SmHoEr2Hg4, relaxed
# Calculated volume ... 25.82 Å³ per atom
# Energy ... -2.9276 eV per atom
# Total magnetic moment ... 0.391 μB/f.u.
# Energy relative to the elements ... -3.8 eV/f.u.
data_SmHoEr2Hg4
_chemical_formula_sum 'Sm3 Ho3 Er6 Hg12'
_space_group_name_H-M_alt 'R -3 m'
_space_group_IT_number 166
_space_group_name_Hall '-R 3 2"'
_cell_length_a 5.2617
_cell_length_b 5.2617
_cell_length_c 25.8413
_cell_angle_alpha 90.00
_cell_angle_beta 90.00
_cell_angle_gamma 120.00
loop_
_atom_site_label
_atom_site_fract_x
_atom_site_fract_y
_atom_site_fract_z
_atom_site_occupancy
Sm1 0.0000 0.0000 0.0000 1
Ho1 0.0000 0.0000 0.5000 1
Er1 0.0000 0.0000 0.2494 1
Hg1 0.0000 0.0000 0.1262 1
Hg2 0.0000 0.0000 0.3765 1

---

Entry 8:
# PBE HoErSnHg, relaxed
# Calculated volume ... 25.64 Å³ per atom
# Energy ... -3.9004 eV per atom
# Total magnetic moment ... 0.000 μB/f.u.
# Energy relative to the elements ... -2.2 eV/f.u.
data_HoErSnHg
_chemical_formula_sum 'Ho4 Er4 Sn4 Hg4'
_space_group_name_H-M_alt 'F -4 3 m'
_space_group_IT_number 216
_space_group_name_Hall 'F -4 2 3'
_cell_length_a 7.4303
_cell_length_b 7.4303
_cell_length_c 7.4303
_cell_angle_alpha 90.00
_cell_angle_beta 90.00
_cell_angle_gamma 90.00
loop_
_atom_site_label
_atom_site_fract_x
_atom_site_fract_y
_atom_site_fract_z
_atom_site_occupancy
Ho1 0.0000 0.0000 0.0000 1
Er1 0.0000 0.0000 0.5000 1
Sn1 0.2500 0.2500 0.2500 1
Hg1 0.2500 0.2500 0.7500 1

---

Entry 9:
# PBE HoErSnHg, relaxed
# Calculated volume ... 25.84 Å³ per atom
# Energy ... -3.9008 eV per atom
# Total magnetic moment ... 0.000 μB/f.u.
# Energy relative to the elements ... -2.2 eV/f.u.
data_HoErSnHg
_chemical_formula_sum 'Ho1 Er1 Sn1 Hg1'
_space_group_name_H-M_alt 'P 4 m m'
_space_group_IT_number 99
_space_group_name_Hall 'P 4 -2'
_cell_length_a 3.7790
_cell_length_b 3.7790
_cell_length_c 7.2378
_cell_angle_alpha 90.00
_cell_angle_beta 90.00
_cell_angle_gamma 90.00
loop_
_atom_site_label
_atom_site_fract_x
_atom_site_fract_y
_atom_site_fract_z
_atom_site_occupancy
Ho1 0.0000 0.0000 0.0000 1
Er1 0.0000 0.0000 0.5067 1
Sn1 0.5000 0.5000 0.2545 1
Hg1 0.5000 0.5000 0.7509 1

---

Entry 10:
# PBE HoErTcHg, relaxed
# Calculated volume ... 22.16 Å³ per atom
# Energy ... -5.1270 eV per atom
# Total magnetic moment ... 0.000 μB/f.u.
# Energy relative to the elements ... -0.7 eV/f.u.
data_HoErTcHg
_chemical_formula_sum 'Ho4 Er4 Tc4 Hg4'
_space_group_name_H-M_alt 'F -4 3 m'
_space_group_IT_number 216
_space_group_name_Hall 'F -4 2 3'
_cell_length_a 7.0773
_cell_length_b 7.0773
_cell_length_c 7.0773
_cell_angle_alpha 90.00
_cell_angle_beta 90.00
_cell_angle_gamma 90.00
loop_
_atom_site_label
_atom_site_fract_x
_atom_site_fract_y
_atom_site_fract_z
_atom_site_occupancy
Ho1 0.0000 0.0000 0.0000 1
Er1 0.0000 0.0000 0.5000 1
Tc1 0.2500 0.2500 0.2500 1
Hg1 0.2500 0.2500 0.7500 1

---

Entry 11:
# PBE HoErHgTe, relaxed
# Calculated volume ... 28.42 Å³ per atom
# Energy ... -3.9812 eV per atom
# Formation energy (no corrections) ... -0.835 eV/atom
# Total magnetic moment ... 0.000 μB/f.u.
data_HoErHgTe
_chemical_formula_sum 'Ho3 Er3 Hg3 Te3'
_space_group_name_H-M_alt 'R 3 m'
_space_group_IT_number 160
_space_group_name_Hall 'R 3 -2"'
_cell_length_a 4.1060
_cell_length_b 4.1060
_cell_length_c 23.3598
_cell_angle_alpha 90.00
_cell_angle_beta 90.00
_cell_angle_gamma 120.00
loop_
_atom_site_label
_atom_site_fract_x
_atom_site_fract_y
_atom_site_fract_z
_atom_site_occupancy
Ho1 0.0000 0.0000 0.0000 1
Er1 0.0000 0.0000 0.5026 1
Hg1 0.0000 0.0000 0.2509 1
Te1 0.0000 0.0000 0.7516 1

---

Entry 12:
# PBE HoErTlHg, relaxed
# Calculated volume ... 26.15 Å³ per atom
# E above lowest polymorph ... 5.2 meV/atom
# Energy ... -3.3476 eV per atom
# Total magnetic moment ... 0.368 μB/f.u.
# Energy relative to the elements ... -1.6 eV/f.u.
data_HoErTlHg
_chemical_formula_sum 'Ho4 Er4 Tl4 Hg4'
_space_group_name_H-M_alt 'F -4 3 m'
_space_group_IT_number 216
_space_group_name_Hall 'F -4 2 3'
_cell_length_a 7.4793
_cell_length_b 7.4793
_cell_length_c 7.4793
_cell_angle_alpha 90.00
_cell_angle_beta 90.00
_cell_angle_gamma 90.00
loop_
_atom_site_label
_atom_site_fract_x
_atom_site_fract_y
_atom_site_fract_z
_atom_site_occupancy
Ho1 0.0000 0.0000 0.0000 1
Er1 0.0000 0.0000 0.5000 1
Tl1 0.2500 0.2500 0.7500 1
Hg1 0.2500 0.2500 0.2500 1

---

Entry 13:
# PBE HoErTlHg, relaxed
# Calculated volume ... 26.13 Å³ per atom
# E above lowest polymorph ... 0.0 meV/atom
# Energy ... -3.3528 eV per atom
# Total magnetic moment ... 0.000 μB/f.u.
# Energy relative to the elements ... -1.6 eV/f.u.
data_HoErTlHg
_chemical_formula_sum 'Ho1 Er1 Tl1 Hg1'
_space_group_name_H-M_alt 'P 4 m m'
_space_group_IT_number 99
_space_group_name_Hall 'P 4 -2'
_cell_length_a 3.7413
_cell_length_b 3.7413
_cell_length_c 7.4680
_cell_angle_alpha 90.00
_cell_angle_beta 90.00
_cell_angle_gamma 90.00
loop_
_atom_site_label
_atom_site_fract_x
_atom_site_fract_y
_atom_site_fract_z
_atom_site_occupancy
Ho1 0.0000 0.0000 0.0000 1
Er1 0.0000 0.0000 0.4823 1
Tl1 0.5000 0.5000 0.7400 1
Hg1 0.5000 0.5000 0.2434 1

---

Entry 14:
# PBE ErHgI6, relaxed
# Calculated volume ... 46.20 Å³ per atom
# Energy ... -2.4213 eV per atom
# Formation energy (no corrections) ... -0.651 eV/atom
# Total magnetic moment ... 0.946 μB/f.u.
data_ErHgI6
_chemical_formula_sum 'Er1 Hg1 I6'
_space_group_name_H-M_alt 'P -1'
_space_group_IT_number 2
_space_group_name_Hall '-P 1'
_cell_length_a 7.5675
_cell_length_b 7.8002
_cell_length_c 7.8796
_cell_angle_alpha 110.37
_cell_angle_beta 95.66
_cell_angle_gamma 117.02
loop_
_atom_site_label
_atom_site_fract_x
_atom_site_fract_y
_atom_site_fract_z
_atom_site_occupancy
Er1 0.0000 0.0000 0.0000 1
Hg1 0.5000 0.0000 0.5000 1
I1 0.2026 0.8093 0.7733 1
I2 0.2560 0.1444 0.4120 1
I3 0.2766 0.4498 0.0518 1